A geometry-optimized CrOsPbO6 structure. Source: Alexandria via LeMat-Bulk, functional PBE+U.

Cell: 5.2415 5.2404 5.2009 Å, 89.98 89.99 60.01°
Each line ends with the local moment (μB).
Element x y z (fractional)
Cr  0.6667  0.6666  0.5000  2.93
Os  0.3333  0.3334  0.5000  0.78
Pb  0.0000  0.0000  0.0000  0.01
O  0.0121  0.3760  0.2930  0.01
O  0.3759  0.0120  0.7068  0.01
O  0.6120  0.3758  0.7068  0.01
O  0.0121  0.6119  0.7070  0.01
O  0.3759  0.6122  0.2932  0.01
O  0.6120  0.0122  0.2932  0.01

Values from the calculation:
- size of the total moment (μB/atom) = 0.44
- N(E_F) (states/eV per cell) = 3.36
- calculated total energy (eV for the cell shown) = -63.75